CsCoAg2F6 | GGA+U | relaxed

Lattice parameters (Å, degrees): 6.3539 6.3539 14.8102 90.00 90.00 120.00
Space group R-3 (No. 148, hexagonal axes)
Asymmetric unit:
Cs 0.0000 0.0000 0.0000
Co 0.0000 0.0000 0.5000
Ag 0.0000 0.0000 0.2789
F 0.0442 0.2591 0.4253

Energy (eV for the cell shown): -119.7



Cs2Co2AgF7 | GGA+U | relaxed

Lattice parameters (Å, degrees): 5.960 5.965 11.839 90.00 104.55 90.00
Space group C2/m (No. 12)
Asymmetric unit:
Cs 0.183 0.000 0.364
Co 0.086 0.500 0.174
Ag 0.000 0.000 0.000
F 0.000 0.500 0.000
F 0.165 0.249 0.831
F 0.175 0.500 0.353

Energy (eV for the cell shown): -106.7



Sequential D(E_F) output: 0.0000; 0.0000 states/eV per atom